(P)
Na3US4 after structural relaxation. Source: Alexandria, functional PBE.

CIF file:
```
data_Na3US4
_cell_length_a 7.0298
_cell_length_b 8.1178
_cell_length_c 6.9412
_cell_angle_alpha 90.00
_cell_angle_beta 110.08
_cell_angle_gamma 90.00
_space_group_name_H-M_alt 'P 1 2/c 1'
_space_group_IT_number 13
_space_group_name_Hall '-P 2yc'
loop_
_atom_site_label
_atom_site_type_symbol
_atom_site_fract_x
_atom_site_fract_y
_atom_site_fract_z
Na1 Na 0.0000 0.1099 0.2500
Na2 Na 0.0000 0.3706 0.7500
Na3 Na 0.5000 0.1190 0.7500
U1 U 0.5000 0.3653 0.2500
S1 S 0.2625 0.1483 0.0257
S2 S 0.2845 0.3948 0.4985
```



(Q)
Na3US4 after structural relaxation. Source: Alexandria, functional PBE.

CIF file:
```
data_Na3US4
_cell_length_a 8.0960
_cell_length_b 11.2640
_cell_length_c 4.0365
_cell_angle_alpha 90.00
_cell_angle_beta 90.00
_cell_angle_gamma 90.00
_space_group_name_H-M_alt 'C m m m'
_space_group_IT_number 65
_space_group_name_Hall '-C 2 2'
loop_
_atom_site_label
_atom_site_type_symbol
_atom_site_fract_x
_atom_site_fract_y
_atom_site_fract_z
Na1 Na 0.0000 0.0000 0.0000
Na2 Na 0.2500 0.2500 0.5000
U1 U 0.0000 0.5000 0.0000
S1 S 0.0000 0.2751 0.0000
S2 S 0.2233 0.5000 0.5000
```



Most stable to least stable, the ends of the list are (P) and (Q).